Entry 1
Compound: SnIF2
Source: the Alexandria database
Functional: PBE
Structure: optimized geometry

It has space group R-3m (No. 166, hexagonal axes), with a = 3.7471 Å, b = 3.7471 Å, c = 30.1996 Å, α = 90.00°, β = 90.00° and γ = 120.00°. Symmetry generates all atoms from Sn at (0.0000, 0.0000, 0.0000), I at (0.0000, 0.0000, 0.5000) and F at (0.0000, 0.0000, 0.3687).

The calculation puts the density of states at the Fermi level at 0.511 states/eV/atom.

Entry 2
Compound: SnIF2
Source: the Alexandria database
Functional: PBE
Structure: optimized geometry

It has space group Fm-3m (No. 225), with a = 6.722 Å, b = 6.722 Å, c = 6.722 Å, α = 90.00°, β = 90.00° and γ = 90.00°. Symmetry generates all atoms from Sn at (0.000, 0.000, 0.000), I at (0.000, 0.000, 0.500) and F at (0.250, 0.250, 0.250).

The calculation puts the density of states at the Fermi level at 0.490 states/eV/atom.

Of them, entry 2 has the lowest stability.

Entry 1
Compound: TlSnIF2
Source: the Alexandria database
Functional: PBE
Structure: optimized geometry

It has space group P4/mmm (No. 123), with a = 4.547 Å, b = 4.547 Å, c = 6.349 Å, α = 90.00°, β = 90.00° and γ = 90.00°. Symmetry generates all atoms from Tl at (0.000, 0.000, 0.000), Sn at (0.000, 0.000, 0.500), I at (0.500, 0.500, 0.000) and F at (0.000, 0.500, 0.500).

The calculation puts the density of states at the Fermi level at 0.270 states/eV/atom.

Entry 2
Compound: TlSnIF2
Source: the Alexandria database
Functional: PBE
Structure: optimized geometry

It has space group P2_1/m (No. 11), with a = 7.579 Å, b = 4.513 Å, c = 8.774 Å, α = 90.00°, β = 101.30° and γ = 90.00°. Symmetry generates all atoms from Tl at (0.207, 0.250, 0.440), Sn at (0.173, 0.250, 0.921), I at (0.416, 0.750, 0.722), F at (0.013, 0.750, 0.289) and F at (0.062, 0.750, 0.949).

The calculation puts the density of states at the Fermi level at 0.000 states/eV/atom.

Entry 3
Compound: TlSnIF2
Source: the Alexandria database
Functional: PBE
Structure: optimized geometry

It has space group P4/mmm (No. 123), with a = 4.758 Å, b = 4.758 Å, c = 6.641 Å, α = 90.00°, β = 90.00° and γ = 90.00°. Symmetry generates all atoms from Tl at (0.000, 0.000, 0.000), Sn at (0.500, 0.500, 0.500), I at (0.500, 0.500, 0.000) and F at (0.000, 0.500, 0.500).

Of them, entry 1 has the lowest stability.